# 1
Here is CsCa3Cl after structural relaxation from Alexandria via LeMat-Bulk. Energies are from PBEsol.

Cell and atoms, written as extended XYZ:
```
5
Lattice="-3.478 3.261 -5.879 -6.163 1.098 4.255 2.686 6.742 2.150" Properties=species:S:1:pos:R:3 pbc="T T T"
Ca -1.739 1.630 -2.940
Cs 0.000 0.000 0.000
Ca 1.343 3.371 1.075
Cl -3.478 5.551 0.263
Ca -3.082 0.549 2.128
```

Results
- total magnetization (μB per formula unit) = 0.000
- ΔE_f (raw) (eV/atom) = 0.81
- final energy (eV/atom) = -1.0605
- density of states at the Fermi level (states/eV per atom) = 1.73

***

# 2
Here is B3PBr after structural relaxation from Alexandria via LeMat-Bulk. Energies are from PBEsol.

Cell and atoms, written as extended XYZ:
```
5
Lattice="4.076 0.000 0.000 0.000 4.076 0.000 0.000 0.000 4.076" Properties=species:S:1:pos:R:3 pbc="T T T"
B 2.038 0.000 0.000
B 0.000 2.038 0.000
B 0.000 0.000 2.038
P 2.038 2.038 2.038
Br 0.000 0.000 0.000
```

Results
- total magnetization (μB per formula unit) = 0.000
- ΔE_f (raw) (eV/atom) = 2.58
- final energy (eV/atom) = -3.1666
- density of states at the Fermi level (states/eV per atom) = 0.53

***

# 3
Here is CeMg after structural relaxation from Alexandria via LeMat-Bulk. Energies are from PBEsol.

Cell and atoms, written as extended XYZ:
```
4
Lattice="3.412 0.000 0.000 -1.706 5.422 0.091 0.000 -2.145 5.325" Properties=species:S:1:pos:R:3 pbc="T T T"
Ce 0.000 0.641 2.380
Mg 1.706 -0.610 4.963
Mg 0.000 3.886 0.453
Ce 1.706 2.635 3.036
```

Results
- total magnetization (μB per formula unit) = 0.099
- final energy (eV/atom) = -4.1331
- density of states at the Fermi level (states/eV per atom) = 1.88

***

Question: Look up the total magnetization of the first one.
Answer: 0.000 μB per formula unit